# 1
This record from the Alexandria database describes a crystal of BiMoBr2 relaxed with PBEsol. The functional is SCAN.

Geometry as extended XYZ:
```
4
Lattice="1.615 0.932 11.135 -1.615 0.932 11.135 0.000 -1.865 11.135" Properties=species:S:1:pos:R:3 pbc="T T T"
Bi 0.000 0.000 0.000
Mo 0.000 0.000 16.703
Br 0.000 0.000 14.341
Br 0.000 0.000 19.065
```

Results
The formation energy from raw total energies comes out at 1.964 eV per formula unit. As for the theoretical density: 7.7 g cm⁻³. As for the space group: R-3m, No. 166.



# 2
This record from the Alexandria database describes a crystal of Na2V16Mo2O45 relaxed with PBEsol. The functional is SCAN.

Geometry as extended XYZ:
```
65
Lattice="9.404 0.000 0.000 3.162 8.872 0.000 4.564 1.009 9.510" Properties=species:S:1:pos:R:3 pbc="T T T"
Na 0.000 0.000 0.000
Na 4.690 5.552 1.786
V 4.901 7.917 4.629
V 7.500 7.550 6.631
V 4.493 0.995 4.565
V 6.409 8.982 1.745
V 3.578 2.569 0.040
V 6.781 2.605 6.770
V 6.961 4.930 4.642
V 9.599 4.597 6.642
V 9.672 6.858 4.519
V 8.409 6.009 1.729
V 8.863 8.477 0.092
V 9.004 1.992 4.606
V 11.679 1.633 6.630
V 11.749 3.904 4.519
V 10.506 3.012 1.712
V 10.868 5.503 0.090
Mo 11.996 8.550 6.771
Mo 14.110 5.536 6.776
O 2.931 4.326 3.081
O 2.682 6.376 0.649
O 3.120 2.226 4.946
O 6.271 8.894 6.185
O 6.245 6.653 7.788
O 2.081 3.724 0.162
O 2.602 1.870 1.627
O 6.020 6.500 5.202
O 6.111 8.774 3.565
O 6.091 4.295 6.358
O 5.202 8.100 1.174
O 6.267 2.218 8.248
O 8.372 8.259 7.763
O 5.641 1.806 5.683
O 5.958 4.370 3.541
O 5.002 1.366 3.095
O 4.734 3.498 0.597
O 8.352 8.156 4.958
O 8.387 5.956 6.197
O 8.341 3.704 7.744
O 4.250 0.816 0.203
O 7.881 7.816 1.672
O 8.166 5.834 3.559
O 8.112 3.554 5.066
O 7.119 5.260 1.201
O 8.140 1.396 6.339
O 11.454 8.192 8.320
O 10.545 5.276 7.709
O 10.820 7.693 5.698
O 8.081 1.306 3.527
O 10.255 7.247 3.085
O 10.440 5.191 4.925
O 6.995 0.361 0.597
O 10.487 3.006 6.184
O 13.577 9.630 7.773
O 9.393 6.668 0.147
O 9.849 4.781 1.619
O 10.151 0.558 5.149
O 10.274 2.835 3.537
O 13.369 7.264 6.359
O 13.568 5.157 8.319
O 9.350 2.094 1.138
O 12.661 2.222 7.733
O 12.919 4.711 5.685
O 13.425 7.180 3.522
```

Results
The formation energy from raw total energies comes out at -160.309 eV per formula unit. As for the theoretical density: 3.7 g cm⁻³. As for the space group: P1, No. 1.



# 3
This record from the Alexandria database describes a crystal of Cu2Pt relaxed with PBEsol. The functional is SCAN.

Geometry as extended XYZ:
```
12
Lattice="7.625 0.000 0.000 0.000 2.690 0.000 -2.731 0.000 7.436" Properties=species:S:1:pos:R:3 pbc="T T T"
Cu 0.000 0.000 0.000
Cu -0.913 0.000 2.514
Cu 1.162 1.345 1.884
Cu 1.593 0.000 6.192
Cu 2.515 0.000 3.803
Cu 3.713 1.345 5.584
Cu 4.608 1.345 3.203
Cu 5.760 0.000 4.944
Pt -0.657 1.345 6.823
Pt 0.345 1.345 4.307
Pt 3.335 0.000 1.373
Pt 5.569 1.345 0.637
```

Results
The value obtained for the formation enthalpy at 0 K is -0.1181 eV per atom. As for the theoretical density: 14.0 g cm⁻³. As for the space group: Pm, No. 6.